Record 1
## GaSbRhI2 (meta-GGA SCAN)

Data for GaSbRhI2 at its PBEsol-relaxed geometry.

```
GaSbRhI2
1.0
5.526 0.000 0.000
0.000 5.526 0.000
0.000 0.000 4.914
Ga Sb Rh I
1 1 1 2
Direct
0.000 0.000 0.000
0.500 0.500 0.000
0.500 0.500 0.500
0.000 0.500 0.500
0.500 0.000 0.500
```

Results
N(E_F), states/eV/cell: 2.01
Raw formation energy, eV per atom: 0.183



Record 2
## Ba2TeOsI (meta-GGA SCAN)

Data for Ba2TeOsI at its PBEsol-relaxed geometry.

```
Ba2TeOsI
1.0
6.152 0.000 0.000
0.000 6.152 0.000
0.000 0.000 4.935
Ba Te Os I
2 1 1 1
Direct
0.000 0.500 0.000
0.500 0.000 0.000
0.000 0.000 0.500
0.000 0.000 0.000
0.500 0.500 0.500
```

Results
N(E_F), states/eV/cell: 1.55
Raw formation energy, eV per atom: -0.688



Record 3
## LiMg4H13Os2 (meta-GGA SCAN)

Data for LiMg4H13Os2 at its PBEsol-relaxed geometry.

```
LiMg4H13Os2
1.0
4.671 0.000 0.000
-2.336 4.045 0.000
0.000 0.000 18.335
Li Mg H Os
2 8 26 4
Direct
0.333 0.667 0.250
0.667 0.333 0.750
0.000 0.000 0.149
0.000 0.000 0.351
0.000 0.000 0.649
0.000 0.000 0.851
0.333 0.667 0.553
0.333 0.667 0.947
0.667 0.333 0.053
0.667 0.333 0.447
0.000 0.000 0.250
0.000 0.000 0.750
0.001 0.501 0.660
0.001 0.501 0.840
0.163 0.327 0.050
0.163 0.327 0.450
0.163 0.837 0.050
0.163 0.837 0.450
0.327 0.163 0.550
0.327 0.163 0.950
0.499 0.501 0.660
0.499 0.501 0.840
0.499 0.999 0.660
0.499 0.999 0.840
0.501 0.001 0.160
0.501 0.001 0.340
0.501 0.499 0.160
0.501 0.499 0.340
0.673 0.837 0.050
0.673 0.837 0.450
0.837 0.163 0.550
0.837 0.163 0.950
0.837 0.673 0.550
0.837 0.673 0.950
0.999 0.499 0.160
0.999 0.499 0.340
0.333 0.667 0.104
0.333 0.667 0.396
0.667 0.333 0.604
0.667 0.333 0.896
```

Results
N(E_F), states/eV/cell: 0.00



Record 4
## Tl4TeMo (meta-GGA SCAN)

Data for Tl4TeMo at its PBEsol-relaxed geometry.

```
Tl4TeMo
1.0
0.000 4.371 4.371
4.371 0.000 4.371
4.371 4.371 0.000
Tl Te Mo
4 1 1
Direct
0.125 0.125 0.125
0.125 0.125 0.624
0.125 0.624 0.125
0.624 0.125 0.125
0.750 0.750 0.750
0.500 0.500 0.500
```

Results
N(E_F), states/eV/cell: 2.91
Raw formation energy, eV per atom: 0.725



Record 5
## InSb2Ru (meta-GGA SCAN)

Data for InSb2Ru at its PBEsol-relaxed geometry.

```
InSb2Ru
1.0
4.923 -1.588 0.000
4.923 1.588 0.000
-2.269 0.000 5.867
In Sb Ru
1 2 1
Direct
0.000 0.000 0.000
0.653 0.653 0.649
0.844 0.844 0.370
0.274 0.274 0.008
```

Results
N(E_F), states/eV/cell: 1.89
Raw formation energy, eV per atom: -0.037



Record 6
## TlReSi2 (meta-GGA SCAN)

Data for TlReSi2 at its PBEsol-relaxed geometry.

```
TlReSi2
1.0
-2.544 2.544 7.639
2.544 -2.544 7.639
2.544 2.544 -7.639
Tl Re Si
2 2 4
Direct
0.375 0.625 0.750
0.625 0.375 0.250
0.125 0.875 0.250
0.875 0.125 0.750
0.000 0.000 0.000
0.000 0.000 0.500
0.000 0.500 0.000
0.500 0.000 0.500
```

Results
N(E_F), states/eV/cell: 4.80
Raw formation energy, eV per atom: 0.766



The records above give, respectively, E values of -31.99; -45.68; -10.98; -59.54; -35.72; -40.11 eV per atom.